# 1
! Pr3Ho2Th, optimized geometry, DFT PBE-GGA; values from VASP
! Offset from the most stable computed form (eV/atom): 0.195
! E (eV per atom): -4.91
! V (Å³ per atom): 34.7
! Energy of formation (eV per atom): 0.2470
&SYSTEM
  ibrav = 0, nat = 12, ntyp = 3
/
ATOMIC_SPECIES
Ho 164.93 Ho.upf
Th 232.04 Th.upf
Pr 140.91 Pr.upf
CELL_PARAMETERS angstrom
6.571 0.000 0.000
0.000 7.465 3.335
0.000 -0.750 8.141
ATOMIC_POSITIONS crystal
Ho 0.077 0.244 0.605
Ho 0.577 0.756 0.395
Ho 0.077 0.605 0.244
Ho 0.577 0.395 0.756
Th 0.800 0.827 0.827
Th 0.300 0.173 0.173
Pr 0.593 0.506 0.139
Pr 0.093 0.861 0.494
Pr 0.817 0.084 0.084
Pr 0.317 0.916 0.916
Pr 0.093 0.494 0.861
Pr 0.593 0.139 0.506

# 2
! Hg2PtI8, optimized geometry, DFT PBE-GGA; values from VASP
! Offset from the most stable computed form (eV/atom): 0.104
! E (eV per atom): -1.82
! V (Å³ per atom): 43.3
! ΔE_f (raw) (kJ/mol of formula units): -99
&SYSTEM
  ibrav = 0, nat = 11, ntyp = 3
/
ATOMIC_SPECIES
I 126.90 I.upf
Pt 195.08 Pt.upf
Hg 200.59 Hg.upf
CELL_PARAMETERS angstrom
-0.574 7.327 3.813
-5.510 -1.472 6.167
2.404 -1.734 7.860
ATOMIC_POSITIONS crystal
I 0.600 0.823 0.823
I 0.690 0.441 0.441
I 0.915 0.358 0.900
I 0.915 0.900 0.358
I 0.400 0.177 0.177
I 0.310 0.559 0.559
I 0.085 0.100 0.642
I 0.085 0.642 0.100
Pt 0.000 0.000 0.000
Hg 0.338 0.744 0.744
Hg 0.662 0.256 0.256

# 3
! MgCd3Cl, optimized geometry, DFT PBE-GGA; values from VASP
! Offset from the most stable computed form (eV/atom): 0.000
! E (eV per atom): -1.17
! V (Å³ per atom): 33.5
! ΔE_f (raw) (kJ/mol of formula units): 31
&SYSTEM
  ibrav = 0, nat = 5, ntyp = 3
/
ATOMIC_SPECIES
Cd 112.41 Cd.upf
Mg 24.30 Mg.upf
Cl 35.45 Cl.upf
CELL_PARAMETERS angstrom
5.513 0.000 0.000
0.000 5.513 0.000
0.000 0.000 5.513
ATOMIC_POSITIONS crystal
Cd 0.500 0.000 0.000
Cd 0.000 0.000 0.500
Cd 0.000 0.500 0.000
Mg 0.000 0.000 0.000
Cl 0.500 0.500 0.500

# 4
! YFeRe, optimized geometry, DFT PBE-GGA; values from VASP
! Offset from the most stable computed form (eV/atom): 0.691
! E (eV per atom): -8.52
! V (Å³ per atom): 18.9
! Energy of formation (eV per atom): 0.6023
&SYSTEM
  ibrav = 0, nat = 3, ntyp = 3
/
ATOMIC_SPECIES
Fe 55.84 Fe.upf
Re 186.21 Re.upf
Y 88.91 Y.upf
CELL_PARAMETERS angstrom
-2.619 0.834 -3.327
-4.213 -0.891 0.294
-2.871 3.211 0.266
ATOMIC_POSITIONS crystal
Fe 0.750 0.750 0.750
Re 0.000 0.000 0.000
Y 0.500 0.500 0.500

# 5
! YNi2, optimized geometry, DFT PBE-GGA; values from VASP
! E (eV per atom): -6.23
! V (Å³ per atom): 17.1
! Energy of formation (eV per atom): -0.2249
&SYSTEM
  ibrav = 0, nat = 6, ntyp = 2
/
ATOMIC_SPECIES
Ni 58.69 Ni.upf
Y 88.91 Y.upf
CELL_PARAMETERS angstrom
-2.426 2.426 4.352
2.426 -2.426 4.352
2.426 2.426 -4.352
ATOMIC_POSITIONS crystal
Ni 0.677 0.177 0.854
Ni 0.823 0.677 0.500
Ni 0.323 0.823 0.146
Ni 0.177 0.323 0.500
Y 0.250 0.250 0.000
Y 0.750 0.750 0.000

# 6
! NpCuGe2, optimized geometry, DFT PBE-GGA; values from VASP
! E (eV per atom): -6.70
! V (Å³ per atom): 18.5
! Energy of formation (eV per atom): -0.1340
&SYSTEM
  ibrav = 0, nat = 8, ntyp = 3
/
ATOMIC_SPECIES
Np 237.00 Np.upf
Ge 72.64 Ge.upf
Cu 63.55 Cu.upf
CELL_PARAMETERS angstrom
-2.463 1.962 -2.598
-2.914 0.124 2.857
5.843 6.730 2.751
ATOMIC_POSITIONS crystal
Np 0.880 0.880 0.760
Np 0.120 0.120 0.240
Ge 0.500 0.000 0.000
Ge 0.336 0.336 0.673
Ge 0.664 0.664 0.327
Ge 0.000 0.500 0.000
Cu 0.250 0.750 0.500
Cu 0.750 0.250 0.500

# 7
! CrCu2Cl, optimized geometry, DFT PBE-GGA; values from VASP
! Offset from the most stable computed form (eV/atom): 0.189
! E (eV per atom): -4.58
! V (Å³ per atom): 15.7
! ΔE_f (raw) (kJ/mol of formula units): 129
&SYSTEM
  ibrav = 0, nat = 4, ntyp = 3
/
ATOMIC_SPECIES
Cu 63.55 Cu.upf
Cl 35.45 Cl.upf
Cr 52.00 Cr.upf
CELL_PARAMETERS angstrom
5.781 0.036 0.000
3.568 4.549 0.000
-4.345 -2.964 2.399
ATOMIC_POSITIONS crystal
Cu 0.486 0.486 0.000
Cu 0.014 0.014 0.000
Cl 0.750 0.250 0.500
Cr 0.250 0.750 0.500

# 8
! SrPmHoMg, optimized geometry, DFT PBE-GGA; values from VASP
! E (eV per atom): -3.01
! V (Å³ per atom): 33.9
! Energy of formation (eV per atom): 0.1404
&SYSTEM
  ibrav = 0, nat = 4, ntyp = 4
/
ATOMIC_SPECIES
Sr 87.62 Sr.upf
Pm 145.00 Pm.upf
Mg 24.30 Mg.upf
Ho 164.93 Ho.upf
CELL_PARAMETERS angstrom
5.766 0.000 0.000
2.883 4.994 0.000
2.883 1.665 4.708
ATOMIC_POSITIONS crystal
Sr 0.250 0.250 0.250
Pm 0.750 0.750 0.750
Mg 0.000 0.000 0.000
Ho 0.500 0.500 0.500